Record 1
Here is a relaxed structure of Pr from Alexandria via LeMat-Bulk. Energies are from PBE.

The calculation puts the formation energy at 0.005 eV/atom. The value obtained for the excess energy over the best structure of this formula in the dataset is 5 meV per atom.

It has space group R-3m (No. 166, hexagonal axes), with a = 3.7372 Å, b = 3.7372 Å, c = 27.0308 Å, α = 90.00°, β = 90.00° and γ = 120.00°. The inequivalent atoms are Pr at (0.0000, 0.0000, 0.0000) and Pr at (0.0000, 0.0000, 0.2233).


Record 2
Here is a relaxed structure of Sn2Pd4S from Alexandria via LeMat-Bulk. Energies are from PBE.

The calculation puts the uncorrected formation energy at -0.10 eV/atom.

It has space group I4/mmm (No. 139), with a = 4.5317 Å, b = 4.5317 Å, c = 13.9367 Å, α = 90.00°, β = 90.00° and γ = 90.00°. The inequivalent atoms are Sn at (0.0000, 0.0000, 0.1449), Pd at (0.0000, 0.0000, 0.3344), Pd at (0.0000, 0.5000, 0.0000) and S at (0.0000, 0.0000, 0.5000).


Record 3
Here is a relaxed structure of LaTbDyEr from Alexandria via LeMat-Bulk. Energies are from PBE.

The calculation puts the formation energy at 0.115 eV/atom. The value obtained for the excess energy over the best structure of this formula in the dataset is 0 meV per atom.

It has space group F-43m (No. 216), with a = 8.1022 Å, b = 8.1022 Å, c = 8.1022 Å, α = 90.00°, β = 90.00° and γ = 90.00°. The inequivalent atoms are La at (0.0000, 0.0000, 0.0000), Tb at (0.0000, 0.0000, 0.5000), Dy at (0.2500, 0.2500, 0.2500) and Er at (0.2500, 0.2500, 0.7500).


Record 4
Here is a relaxed structure of PrNd2Cu2 from Alexandria via LeMat-Bulk. Energies are from PBE.

The calculation puts the formation energy at -0.076 eV/atom. The value obtained for the excess energy over the best structure of this formula in the dataset is 0 meV per atom.

It has space group P2_1/m (No. 11), with a = 3.6459 Å, b = 5.2561 Å, c = 13.5712 Å, α = 90.00°, β = 97.73° and γ = 90.00°. The inequivalent atoms are Pr at (0.1400, 0.2500, 0.2811), Nd at (0.0466, 0.7500, 0.0943), Nd at (0.2295, 0.7500, 0.4594), Cu at (0.3612, 0.2500, 0.7214) and Cu at (0.4559, 0.7500, 0.9104).


In states/eV/f.u., the DOS(E_F) values for the records above are, in order, 1.3; 3.4; 7.3; 5.3.
In eV per atom, the energy values for the records above are, in order, -4.77; -4.80; -4.57; -4.58.